CeHoMn2 PBE-GGA optimized geometry; Fermi-level density of states = 8.3 states/eV per cell; calculated total energy = -7.00 eV/atom; DFT formation energy = 0.208 eV/atom; theoretical density = 8.13 g cm⁻³
1.0
5.025 0.000 0.000
0.000 5.025 0.000
0.000 0.000 3.356
Ce Ho Mn
1 1 2
direct
0.000 0.000 0.000
0.500 0.500 0.000
0.000 0.500 0.500
0.500 0.000 0.500